Crystalline CaTaMnO6 at its relaxed geometry, computed with PBE+U.

Calculated values
**Total DFT energy (no corrections)**: -140.464 eV for the cell shown
**Density of states at the Fermi level**: 3.40 states/eV/f.u.

abc: 4.8467 4.8467 9.4462
angles: 90.00 90.00 90.00
Closest atoms and distances in Å follow each position.
Space group P4_2nm (No. 102)
Symmetry-distinct sites (fractional):
Ca (0.0000, 0.0000, 0.0000) (multiplicity 2)  6 O 2.24-2.40
Ta (0.0000, 0.0000, 0.6618) (multiplicity 2)  6 O 2.00
Mn (0.0000, 0.0000, 0.3323) (multiplicity 2)  6 O 1.91-1.96
O (0.1730, 0.1730, 0.4910) (multiplicity 4)  1 Mn 1.91, 1 Ta 2.00
O (0.2111, 0.2111, 0.1917) (multiplicity 4)  1 Mn 1.96, 1 Ta 2.00
O (0.2199, 0.2199, 0.8018) (multiplicity 4)  1 Mn 1.94, 1 Ta 2.00